(1)
Rb2InIF6: optimized geometry, PBE-GGA.

Unit cell a=6.7859 b=6.7859 c=6.7859 alpha=114.10 beta=114.10 gamma=100.56
Positions (direct):
Rb 0.2500 0.7500 0.5000
Rb 0.7500 0.2500 0.5000
In 0.0000 0.0000 0.0000
I 0.5000 0.5000 0.0000
F 0.1974 0.1974 0.3948
F 0.1974 0.8026 0.0000
F 0.2545 0.2545 0.0000
F 0.7455 0.7455 0.0000
F 0.8026 0.1974 0.0000
F 0.8026 0.8026 0.6052

Values from the calculation:
Formation energy without anion corrections ... -2217.1 meV per atom



(2)
Zr3AlGa: optimized geometry, PBE-GGA.

Unit cell a=4.9847 b=4.9847 c=4.9847 alpha=90.00 beta=90.00 gamma=90.00
Positions (direct):
Zr 0.0000 0.0000 0.5000
Zr 0.0000 0.5000 0.0000
Zr 0.5000 0.0000 0.0000
Al 0.5000 0.5000 0.5000
Ga 0.0000 0.0000 0.0000

Values from the calculation:
E_form ... 0.321 eV/atom



(3)
K2CdRe: optimized geometry, PBE-GGA.

Unit cell a=3.7490 b=3.7490 c=10.1142 alpha=90.00 beta=90.00 gamma=90.00
Positions (direct):
K 0.0000 0.0000 0.0000
K 0.5000 0.5000 0.4144
Cd 0.5000 0.5000 0.7430
Re 0.0000 0.0000 0.6695

Values from the calculation:
E_form ... 1.039 eV/atom